A) Density functional theory data (PBE) for crystalline Y2PuSb at its relaxed geometry.

Cell lengths 4.571, 4.878, 4.878 Å; angles 90.00, 90.00, 90.00 degrees
Site moments in Bohr magnetons follow the coordinates.
Atoms (fractional coordinates):
Sb: 0.500 0.000 0.000  -0.04
Y: 0.000 0.500 0.000  0.21
Y: 0.000 0.000 0.500  0.21
Pu: 0.500 0.500 0.500  5.62

## Properties
- SG: P4/mmm, No. 123
- N(E_F): 10.9 states/eV/f.u.

=====

B) Density functional theory data (PBE) for crystalline Y2PuSb at its relaxed geometry.

Cell lengths 3.573, 3.573, 10.798 Å; angles 80.48, 80.48, 60.00 degrees
Site moments in Bohr magnetons follow the coordinates.
Atoms (fractional coordinates):
Y: 0.745 0.745 0.766  0.06
Y: 0.255 0.255 0.234  0.06
Pu: 0.500 0.500 0.500  5.56
Sb: 0.000 0.000 0.000  0.01

## Properties
- SG: R-3m, No. 166
- N(E_F): 9.8 states/eV/f.u.

=====

Going by the computed energies, the most stable comes first: A), B).

=====

A) Density functional theory data (PBE) for crystalline PuZr2Sb at its relaxed geometry.

Cell lengths 5.050, 5.050, 5.051 Å; angles 60.00, 60.00, 60.00 degrees
Site moments in Bohr magnetons follow the coordinates.
Atoms (fractional coordinates):
Zr: 0.250 0.250 0.250  0.40
Zr: 0.750 0.750 0.750  0.40
Pu: 0.000 0.000 0.000  5.66
Sb: 0.500 0.500 0.500  -0.04

## Properties
- SG: Fm-3m, No. 225
- N(E_F): 10.4 states/eV/f.u.

=====

B) Density functional theory data (PBE) for crystalline PuZr2Sb at its relaxed geometry.

Cell lengths 4.284, 4.619, 4.619 Å; angles 90.00, 90.00, 90.00 degrees
Site moments in Bohr magnetons follow the coordinates.
Atoms (fractional coordinates):
Pu: 0.500 0.500 0.500  5.22
Sb: 0.500 0.000 0.000  -0.04
Zr: 0.000 0.000 0.500  0.11
Zr: 0.000 0.500 0.000  0.11

## Properties
- SG: P4/mmm, No. 123
- N(E_F): 5.8 states/eV/f.u.

=====

Going by the computed energies, the most stable comes first: B), A).

=====

A) Density functional theory data (PBE) for crystalline PuSc3 at its relaxed geometry.

Cell lengths 3.238, 5.752, 6.207 Å; angles 117.60, 105.12, 90.00 degrees
Site moments in Bohr magnetons follow the coordinates.
Atoms (fractional coordinates):
Sc: 0.249 0.578 0.498  0.10
Sc: 0.500 0.504 0.000  0.08
Sc: 0.751 0.081 0.502  0.10
Pu: 0.000 0.004 0.000  5.53

## Properties
- SG: Imm2, No. 44
- N(E_F): 8.8 states/eV/f.u.

=====

B) Density functional theory data (PBE) for crystalline PuSc3 at its relaxed geometry.

Cell lengths 5.269, 3.241, 5.727 Å; angles 90.00, 90.00, 90.00 degrees
Site moments in Bohr magnetons follow the coordinates.
Atoms (fractional coordinates):
Pu: 0.000 0.000 0.996  5.43
Sc: 0.500 0.000 0.673  0.05
Sc: 0.500 0.500 0.170  0.07
Sc: 0.000 0.500 0.494  0.14

## Properties
- SG: Pmm2, No. 25
- N(E_F): 10.0 states/eV/f.u.

=====

Going by the computed energies, the most stable comes first: A), B).

=====

A) Density functional theory data (PBE) for crystalline PuSc3 at its relaxed geometry.

Cell lengths 4.638, 4.638, 5.628 Å; angles 114.33, 114.33, 90.00 degrees
Site moments in Bohr magnetons follow the coordinates.
Atoms (fractional coordinates):
Pu: 0.000 0.000 0.000  5.53
Sc: 0.500 0.500 0.000  0.18
Sc: 0.250 0.750 0.500  0.24
Sc: 0.750 0.250 0.500  0.24

## Properties
- SG: I4/mmm, No. 139
- N(E_F): 12.0 states/eV/f.u.

=====

B) Density functional theory data (PBE) for crystalline PuSc3 at its relaxed geometry.

Cell lengths 4.601, 9.198, 9.263 Å; angles 90.00, 90.00, 90.00 degrees
Site moments in Bohr magnetons follow the coordinates.
Atoms (fractional coordinates):
Sc: 0.250 0.124 0.750  -0.06
Sc: 0.250 0.877 0.499  0.08
Sc: 0.250 0.624 0.250  -0.06
Sc: 0.250 0.877 0.001  0.08
Sc: 0.750 0.876 0.250  -0.06
Sc: 0.750 0.623 0.001  0.08
Sc: 0.750 0.376 0.750  -0.06
Sc: 0.750 0.623 0.499  0.08
Sc: 0.250 0.377 0.999  0.08
Sc: 0.750 0.123 0.999  0.08
Sc: 0.750 0.123 0.501  0.08
Sc: 0.250 0.377 0.501  0.08
Pu: 0.750 0.373 0.250  5.48
Pu: 0.250 0.127 0.250  5.48
Pu: 0.250 0.627 0.750  5.48
Pu: 0.750 0.873 0.750  5.48

## Properties
- SG: Cmcm, No. 63
- N(E_F): 10.5 states/eV/f.u.

=====

C) Density functional theory data (PBE) for crystalline PuSc3 at its relaxed geometry.

Cell lengths 5.194, 5.194, 5.194 Å; angles 60.00, 60.00, 60.00 degrees
Site moments in Bohr magnetons follow the coordinates.
Atoms (fractional coordinates):
Pu: 0.500 0.500 0.500  5.29
Sc: 0.750 0.750 0.750  0.08
Sc: 0.000 0.000 0.000  -0.06
Sc: 0.250 0.250 0.250  0.08

## Properties
- SG: Fm-3m, No. 225
- N(E_F): 8.1 states/eV/f.u.

=====

Going by the computed energies, the most stable comes first: B), A), C).

=====

A) Density functional theory data (PBE) for crystalline PuScSe3 at its relaxed geometry.

Cell lengths 4.022, 7.509, 15.395 Å; angles 90.00, 90.00, 90.00 degrees
Site moments in Bohr magnetons follow the coordinates.
Atoms (fractional coordinates):
Se: 0.250 0.150 0.785  -0.11
Se: 0.750 0.988 0.603  -0.06
Se: 0.250 0.012 0.397  -0.06
Se: 0.250 0.874 0.941  -0.08
Se: 0.750 0.126 0.059  -0.08
Se: 0.750 0.850 0.215  -0.11
Se: 0.750 0.488 0.897  -0.06
Se: 0.750 0.350 0.285  -0.11
Se: 0.250 0.374 0.559  -0.08
Se: 0.250 0.512 0.103  -0.06
Se: 0.750 0.626 0.441  -0.08
Se: 0.250 0.650 0.715  -0.11
Sc: 0.250 0.270 0.957  0.03
Sc: 0.750 0.230 0.457  0.03
Sc: 0.750 0.730 0.043  0.03
Sc: 0.250 0.770 0.543  0.03
Pu: 0.250 0.642 0.299  5.10
Pu: 0.250 0.142 0.201  5.10
Pu: 0.750 0.858 0.799  5.10
Pu: 0.750 0.358 0.701  5.10

## Properties
- SG: Pnma, No. 62
- N(E_F): 8.4 states/eV/f.u.

=====

B) Density functional theory data (PBE) for crystalline PuScSe3 at its relaxed geometry.

Cell lengths 6.802, 8.423, 9.903 Å; angles 119.18, 90.00, 90.00 degrees
Site moments in Bohr magnetons follow the coordinates.
Atoms (fractional coordinates):
Sc: 0.758 0.039 0.103  -0.01
Sc: 0.742 0.539 0.603  -0.01
Sc: 0.242 0.961 0.897  -0.01
Sc: 0.258 0.461 0.397  -0.01
Pu: 0.774 0.039 0.594  5.19
Pu: 0.274 0.461 0.906  5.19
Pu: 0.226 0.961 0.406  5.19
Pu: 0.726 0.539 0.094  5.19
Se: 0.598 0.914 0.278  -0.12
Se: 0.056 0.758 0.615  -0.05
Se: 0.944 0.242 0.385  -0.05
Se: 0.098 0.586 0.222  -0.12
Se: 0.581 0.664 0.431  -0.09
Se: 0.402 0.086 0.722  -0.12
Se: 0.902 0.414 0.778  -0.12
Se: 0.419 0.336 0.569  -0.09
Se: 0.444 0.258 0.115  -0.05
Se: 0.556 0.742 0.885  -0.05
Se: 0.919 0.164 0.931  -0.09
Se: 0.081 0.836 0.069  -0.09

## Properties
- SG: P2_1/c, No. 14
- N(E_F): 6.9 states/eV/f.u.

=====

Going by the computed energies, the most stable comes first: A), B).

=====

A) Density functional theory data (PBE) for crystalline PuScSe at its relaxed geometry.

Cell lengths 3.545, 3.545, 6.119 Å; angles 106.84, 106.84, 90.00 degrees
Site moments in Bohr magnetons follow the coordinates.
Atoms (fractional coordinates):
Se: 0.693 0.693 0.386  -0.03
Pu: 0.005 0.005 0.009  5.64
Sc: 0.302 0.302 0.605  0.28

## Properties
- SG: I4mm, No. 107
- N(E_F): 8.4 states/eV/f.u.

=====

B) Density functional theory data (PBE) for crystalline PuScSe at its relaxed geometry.

Cell lengths 3.753, 4.640, 4.640 Å; angles 120.00, 90.00, 90.00 degrees
Site moments in Bohr magnetons follow the coordinates.
Atoms (fractional coordinates):
Se: 0.167 0.333 0.667  -0.05
Pu: 0.666 0.667 0.333  5.59
Sc: 0.166 0.000 0.000  0.32

## Properties
- SG: P-6m2, No. 187
- N(E_F): 7.2 states/eV/f.u.

=====

Going by the computed energies, the most stable comes first: A), B).